Entry 1:
Below is a geometry-optimized TaTiMnC2 structure, with properties calculated at the PBE level.

The structure in POSCAR format:
```
TaTiMnC2
1.0
4.092 0.000 0.000
0.000 4.092 0.000
0.000 0.000 5.045
Ta Ti Mn C
1 1 1 2
direct
0.000 0.000 0.000 Ta
0.000 0.000 0.500 Ti
0.500 0.500 0.500 Mn
0.000 0.500 0.000 C
0.500 0.000 0.000 C
```

Values from the calculation:
* ρ: 6.05 g/cm3
* SG: P4/mmm (123)
* energy of formation: 2.150 eV per atom

---

Entry 2:
Below is a geometry-optimized UTaMnC3 structure, with properties calculated at the PBE level.

The structure in POSCAR format:
```
UTaMnC3
1.0
6.876 0.000 0.000
0.000 3.162 0.000
-1.471 0.000 7.026
U Ta Mn C
2 2 2 6
direct
0.179 0.250 0.200 U
0.821 0.750 0.800 U
0.351 0.750 0.851 Ta
0.649 0.250 0.149 Ta
0.103 0.250 0.599 Mn
0.897 0.750 0.401 Mn
0.119 0.250 0.865 C
0.186 0.750 0.494 C
0.423 0.750 0.163 C
0.577 0.250 0.837 C
0.814 0.250 0.506 C
0.881 0.750 0.135 C
```

Values from the calculation:
* ρ: 11.09 g/cm3
* SG: P2_1/m (11)
* energy of formation: -0.141 eV per atom

---

Entry 3:
Below is a geometry-optimized U2TaMn2C4 structure, with properties calculated at the PBE level.

The structure in POSCAR format:
```
U2TaMn2C4
1.0
6.627 -1.531 0.000
6.627 1.531 0.000
-1.345 0.000 5.401
U Ta Mn C
2 1 2 4
direct
0.127 0.127 0.034 U
0.873 0.873 0.966 U
0.000 0.000 0.500 Ta
0.320 0.320 0.469 Mn
0.680 0.680 0.531 Mn
0.240 0.240 0.731 C
0.457 0.457 0.742 C
0.543 0.543 0.258 C
0.760 0.760 0.269 C
```

Values from the calculation:
* ρ: 12.35 g/cm3
* SG: C2/m (12)
* energy of formation: -0.122 eV per atom